First-principles (PBE) data for crystalline LiLaP2Pd5 at its relaxed geometry, as listed in Alexandria.

Cell: 4.200 4.200 8.755 Å, 90.00 90.00 90.00°
Space group P4/mmm (No. 123)
Symmetry-distinct sites (fractional):
Li1 0.000 0.000 0.000 (multiplicity 1)
La1 0.000 0.000 0.500 (multiplicity 1)
P1 0.500 0.500 0.121 (multiplicity 2)
Pd1 0.000 0.500 0.250 (multiplicity 4)
Pd2 0.500 0.500 0.500 (multiplicity 1)

Output
Total DFT energy (no corrections): -50.0 eV per cell
Total moment: 0.0 μB per cell